No. 1
Density functional theory data (PBE-GGA) for a geometry-optimized BaSnPb2 structure.

Values from the calculation:
For the density, the calculation gives 7.6 g cm⁻³. As for the calculated volume: 36.608 Å³/atom. Its crystal system is tetragonal. As for the formation enthalpy at 0 K: -279 meV/atom. As for the electronic total energy: -3.61 eV/atom.

abc: 7.3286 7.3286 7.3286
angles: 103.83 103.83 121.47
Atoms (fractional coordinates):
Ba: 0.0000 0.0000 0.0000
Ba: 0.7500 0.2500 0.5000
Sn: 0.2500 0.7500 0.5000
Sn: 0.5000 0.5000 0.0000
Pb: 0.1739 0.6250 0.0489
Pb: 0.3750 0.4239 0.5489
Pb: 0.5761 0.1250 0.9511
Pb: 0.8750 0.8261 0.4511

***

No. 2
Density functional theory data (PBE-GGA) for a geometry-optimized BaSnPb2 structure.

Values from the calculation:
For the density, the calculation gives 8.4 g cm⁻³. As for the calculated volume: 33.013 Å³/atom. Its crystal system is tetragonal. As for the formation enthalpy at 0 K: -360 meV/atom. As for the electronic total energy: -3.70 eV/atom.

abc: 5.0949 5.0949 5.0872
angles: 90.00 90.00 90.00
Atoms (fractional coordinates):
Ba: 0.0000 0.0000 0.0000
Sn: 0.5000 0.5000 0.0000
Pb: 0.0000 0.5000 0.5000
Pb: 0.5000 0.0000 0.5000

***

No. 3
Density functional theory data (PBE-GGA) for a geometry-optimized BaSn4Pb structure.

Values from the calculation:
For the density, the calculation gives 7.1 g cm⁻³. As for the calculated volume: 32.161 Å³/atom. Its crystal system is orthorhombic. As for the formation enthalpy at 0 K: -254 meV/atom. As for the electronic total energy: -3.86 eV/atom.

abc: 6.8339 6.8339 6.8339
angles: 138.39 108.92 85.88
Atoms (fractional coordinates):
Ba: 0.0000 0.0000 0.0000
Sn: 0.4049 0.5903 0.8145
Sn: 0.5769 0.2803 0.2966
Sn: 0.7758 0.5903 0.1855
Sn: 0.9838 0.2803 0.7034
Pb: 0.3427 0.8427 0.5000

***

No. 4
Density functional theory data (PBE-GGA) for a geometry-optimized BaSn4Pb2 structure.

Values from the calculation:
For the density, the calculation gives 5.8 g cm⁻³. As for the calculated volume: 41.696 Å³/atom. Its crystal system is tetragonal. As for the formation enthalpy at 0 K: -32 meV/atom. As for the electronic total energy: -3.65 eV/atom.

abc: 7.4149 7.4149 7.4149
angles: 101.56 101.56 126.81
Atoms (fractional coordinates):
Ba: 0.0000 0.0000 0.0000
Sn: 0.2825 0.5000 0.7825
Sn: 0.5000 0.2825 0.7825
Sn: 0.5000 0.7175 0.2175
Sn: 0.7175 0.5000 0.2175
Pb: 0.2500 0.7500 0.5000
Pb: 0.7500 0.2500 0.5000

***

No. 5
Density functional theory data (PBE-GGA) for a geometry-optimized BaSn4Pb12 structure.

Values from the calculation:
For the density, the calculation gives 8.4 g cm⁻³. As for the calculated volume: 35.823 Å³/atom. Its crystal system is cubic. As for the formation enthalpy at 0 K: 46 meV/atom. As for the electronic total energy: -3.63 eV/atom.

abc: 9.2486 9.2486 9.2486
angles: 109.47 109.47 109.47
Atoms (fractional coordinates):
Ba: 0.0000 0.0000 0.0000
Sn: 0.0000 0.0000 0.5000
Sn: 0.0000 0.5000 0.0000
Sn: 0.5000 0.0000 0.0000
Sn: 0.5000 0.5000 0.5000
Pb: 0.1500 0.5020 0.3520
Pb: 0.1500 0.7979 0.6480
Pb: 0.2021 0.3520 0.8500
Pb: 0.3520 0.1500 0.5020
Pb: 0.3520 0.8500 0.2021
Pb: 0.4980 0.6480 0.8500
Pb: 0.5020 0.3520 0.1500
Pb: 0.6480 0.1500 0.7979
Pb: 0.6480 0.8500 0.4980
Pb: 0.7979 0.6480 0.1500
Pb: 0.8500 0.2021 0.3520
Pb: 0.8500 0.4980 0.6480

***

No. 6
Density functional theory data (PBE-GGA) for a geometry-optimized BaSn2Pb6 structure.

Values from the calculation:
For the density, the calculation gives 8.9 g cm⁻³. As for the calculated volume: 33.504 Å³/atom. Its crystal system is monoclinic. The energy above the most stable polymorph in this dataset is 5.1 kJ per mole of atoms. As for the formation enthalpy at 0 K: -119 meV/atom. As for the electronic total energy: -3.69 eV/atom.

abc: 7.1302 7.1302 6.9080
angles: 94.62 94.62 59.58
Atoms (fractional coordinates):
Ba: 0.0000 0.0000 0.0000
Sn: 0.4082 0.4082 0.1284
Sn: 0.5918 0.5918 0.8716
Pb: 0.0470 0.4957 0.7397
Pb: 0.2389 0.7611 0.5000
Pb: 0.4957 0.0470 0.7397
Pb: 0.5043 0.9530 0.2603
Pb: 0.7611 0.2389 0.5000
Pb: 0.9530 0.5043 0.2603

***

No. 7
Density functional theory data (PBE-GGA) for a geometry-optimized BaSn3Pb structure.

Values from the calculation:
For the density, the calculation gives 5.0 g cm⁻³. As for the calculated volume: 46.194 Å³/atom. Its crystal system is cubic. The energy above the most stable polymorph in this dataset is 115.1 kJ per mole of atoms. As for the formation enthalpy at 0 K: 899 meV/atom. As for the electronic total energy: -2.63 eV/atom.

abc: 6.1355 6.1355 6.1355
angles: 90.00 90.00 90.00
Atoms (fractional coordinates):
Ba: 0.0000 0.0000 0.0000
Sn: 0.0000 0.0000 0.5000
Sn: 0.0000 0.5000 0.0000
Sn: 0.5000 0.0000 0.0000
Pb: 0.5000 0.5000 0.5000

***

No. 8
Density functional theory data (PBE-GGA) for a geometry-optimized Ba3Sn2Pb7 structure.

Values from the calculation:
For the density, the calculation gives 7.9 g cm⁻³. As for the calculated volume: 36.603 Å³/atom. Its crystal system is monoclinic. As for the formation enthalpy at 0 K: -325 meV/atom. As for the electronic total energy: -3.64 eV/atom.

abc: 7.8757 5.3230 10.5191
angles: 90.00 95.10 90.00
Atoms (fractional coordinates):
Ba: 0.0000 0.0000 0.0000
Ba: 0.4672 0.0000 0.7220
Ba: 0.5328 0.0000 0.2780
Sn: 0.2164 0.5000 0.1987
Sn: 0.7836 0.5000 0.8013
Pb: 0.0687 0.0000 0.3572
Pb: 0.1713 0.5000 0.7872
Pb: 0.2990 0.5000 0.4923
Pb: 0.5000 0.5000 0.0000
Pb: 0.7010 0.5000 0.5077
Pb: 0.8287 0.5000 0.2128
Pb: 0.9313 0.0000 0.6428